Below is an optimized crystal structure of K2MgSb, with properties calculated at the PBE-GGA level. Values from VASP.

The structure in Quantum ESPRESSO input format:
```
&SYSTEM
  ibrav = 0, nat = 4, ntyp = 3
/
ATOMIC_SPECIES
K 39.10 K.upf
Mg 24.30 Mg.upf
Sb 121.76 Sb.upf
ATOMIC_POSITIONS crystal
K 0.000 0.000 0.000
K 0.500 0.500 0.000
Mg 0.500 0.000 0.500
Sb 0.000 0.500 0.500
CELL_PARAMETERS angstrom
6.185 0.000 0.000
0.000 6.185 0.000
0.000 0.000 3.796
```

N(E_F) (states/eV/cell): 2.9
Raw formation energy (eV per atom): -0.025
Magnetization (μB per cell): 0.0
Space group: No. 123

***

Below is an optimized crystal structure of K2MgSb, with properties calculated at the PBE-GGA level. Values from VASP.

The structure in Quantum ESPRESSO input format:
```
&SYSTEM
  ibrav = 0, nat = 4, ntyp = 3
/
ATOMIC_SPECIES
K 39.10 K.upf
Mg 24.30 Mg.upf
Sb 121.76 Sb.upf
ATOMIC_POSITIONS crystal
K 0.000 0.000 0.000
K 0.500 0.000 0.500
Mg 0.000 0.500 0.500
Sb 0.500 0.500 0.000
CELL_PARAMETERS angstrom
8.091 0.204 0.595
-3.198 5.287 -0.243
1.695 1.167 3.404
```

N(E_F) (states/eV/cell): 1.5
Raw formation energy (eV per atom): -0.036
Magnetization (μB per cell): 0.0
Space group: No. 12

***

Below is an optimized crystal structure of K2MgSb, with properties calculated at the PBE-GGA level. Values from VASP.

The structure in Quantum ESPRESSO input format:
```
&SYSTEM
  ibrav = 0, nat = 4, ntyp = 3
/
ATOMIC_SPECIES
K 39.10 K.upf
Mg 24.30 Mg.upf
Sb 121.76 Sb.upf
ATOMIC_POSITIONS crystal
K 0.959 0.959 0.070
K 0.776 0.776 0.702
Mg 0.552 0.552 0.497
Sb 0.213 0.213 0.231
CELL_PARAMETERS angstrom
7.075 0.024 -0.027
6.121 3.549 -0.027
1.792 0.485 6.042
```

N(E_F) (states/eV/cell): 2.3
Raw formation energy (eV per atom): -0.159
Magnetization (μB per cell): 0.0
Space group: No. 8

***

Below is an optimized crystal structure of KMgSb2, with properties calculated at the PBE-GGA level. Values from VASP.

The structure in Quantum ESPRESSO input format:
```
&SYSTEM
  ibrav = 0, nat = 4, ntyp = 3
/
ATOMIC_SPECIES
K 39.10 K.upf
Mg 24.30 Mg.upf
Sb 121.76 Sb.upf
ATOMIC_POSITIONS crystal
K 0.486 0.486 0.000
Mg 0.773 0.273 0.500
Sb 0.025 0.025 0.000
Sb 0.216 0.716 0.500
CELL_PARAMETERS angstrom
6.616 -0.018 -0.006
3.193 5.794 0.006
-4.432 -3.690 3.242
```

N(E_F) (states/eV/cell): 1.9
Raw formation energy (eV per atom): -0.098
Magnetization (μB per cell): 0.0
Space group: No. 44

***

Below is an optimized crystal structure of K2MgSb, with properties calculated at the PBE-GGA level. Values from VASP.

The structure in Quantum ESPRESSO input format:
```
&SYSTEM
  ibrav = 0, nat = 4, ntyp = 3
/
ATOMIC_SPECIES
K 39.10 K.upf
Mg 24.30 Mg.upf
Sb 121.76 Sb.upf
ATOMIC_POSITIONS crystal
K 0.000 0.000 0.927
K 0.500 0.500 0.312
Mg 0.000 0.000 0.593
Sb 0.500 0.500 0.667
CELL_PARAMETERS angstrom
-2.312 0.782 -3.091
0.490 -4.050 -1.391
-8.042 -2.795 5.308
```

N(E_F) (states/eV/cell): 2.3
Raw formation energy (eV per atom): -0.136
Magnetization (μB per cell): 0.0
Space group: No. 25

***

Below is an optimized crystal structure of KMg3Sb3, with properties calculated at the PBE-GGA level. Values from VASP.

The structure in Quantum ESPRESSO input format:
```
&SYSTEM
  ibrav = 0, nat = 14, ntyp = 3
/
ATOMIC_SPECIES
K 39.10 K.upf
Mg 24.30 Mg.upf
Sb 121.76 Sb.upf
ATOMIC_POSITIONS crystal
K 0.330 0.330 0.009
K 0.670 0.670 0.991
Mg 0.515 0.778 0.597
Mg 0.778 0.110 0.597
Mg 0.110 0.515 0.597
Mg 0.890 0.485 0.403
Mg 0.222 0.890 0.403
Mg 0.485 0.222 0.403
Sb 0.213 0.625 0.271
Sb 0.890 0.213 0.271
Sb 0.625 0.890 0.271
Sb 0.375 0.110 0.729
Sb 0.110 0.787 0.729
Sb 0.787 0.375 0.729
CELL_PARAMETERS angstrom
-6.942 0.579 -3.429
-6.135 -3.689 3.007
-6.260 6.266 4.940
```

N(E_F) (states/eV/cell): 9.2
Raw formation energy (eV per atom): -0.249
Magnetization (μB per cell): 0.0
Space group: No. 148